Below is a geometry-optimized AcSm4Ho7 structure, with properties calculated at the PBE-GGA level.

Cell: 7.2622 9.5938 8.9498 Å, 81.08 89.99 40.92°
Fractional coordinates of all 12 atoms:
Ac: 0.0000 0.0000 0.0000
Sm: 0.5332 0.7189 0.3369
Sm: 0.4668 0.2811 0.6631
Sm: 0.7216 0.7788 0.6670
Sm: 0.2784 0.2212 0.3330
Ho: 0.7525 0.5000 0.9995
Ho: 0.2475 0.5000 0.0005
Ho: 0.9726 0.2797 0.6650
Ho: 0.0274 0.7203 0.3350
Ho: 0.2236 0.7770 0.6627
Ho: 0.5000 0.0000 0.0000
Ho: 0.7764 0.2230 0.3373

## Properties
The value obtained for the formation energy from the elements is 21 meV/atom. As for the polymorph energy (0 for the lowest one): 0 meV per atom. For the density of states at the Fermi level, the calculation gives 18.03 states/eV per cell.

=====

Below is a geometry-optimized LiYLuZn structure, with properties calculated at the PBE-GGA level.

Cell: 5.0618 5.0618 5.0618 Å, 60.00 60.00 60.00°
Fractional coordinates of all 4 atoms:
Y: 0.7500 0.7500 0.7500
Zn: 0.0000 0.0000 0.0000
Lu: 0.2500 0.2500 0.2500
Li: 0.5000 0.5000 0.5000

## Properties
The value obtained for the formation energy from the elements is -125 meV/atom. For the density of states at the Fermi level, the calculation gives 5.08 states/eV per cell.

=====

Below is a geometry-optimized Fe4SnSb12 structure, with properties calculated at the PBE-GGA level.

Cell: 7.9811 7.9811 7.9811 Å, 109.47 109.47 109.47°
Fractional coordinates of all 17 atoms:
Fe: 0.0000 0.5000 0.0000
Fe: 0.5000 0.0000 0.0000
Fe: 0.5000 0.5000 0.5000
Fe: 0.0000 0.0000 0.5000
Sn: 0.0000 0.0000 0.0000
Sb: 0.8390 0.3320 0.1710
Sb: 0.3320 0.4930 0.1610
Sb: 0.8290 0.1610 0.6680
Sb: 0.3320 0.1710 0.8390
Sb: 0.1710 0.8390 0.3320
Sb: 0.6680 0.5070 0.8390
Sb: 0.4930 0.1610 0.3320
Sb: 0.5070 0.8390 0.6680
Sb: 0.6680 0.8290 0.1610
Sb: 0.8390 0.6680 0.5070
Sb: 0.1610 0.3320 0.4930
Sb: 0.1610 0.6680 0.8290

## Properties
For the uncorrected formation energy, the calculation gives -8 meV per atom. For the density of states at the Fermi level, the calculation gives 13.31 states/eV per cell.

=====

Below is a geometry-optimized Pm3GeRh structure, with properties calculated at the PBE-GGA level.

Cell: 7.0424 8.6081 10.6823 Å, 113.76 113.71 90.00°
Fractional coordinates of all 20 atoms:
Pm: 0.0929 0.7773 0.6467
Pm: 0.5929 0.8694 0.6467
Pm: 0.4071 0.1306 0.3533
Pm: 0.9071 0.2227 0.3533
Pm: 0.0843 0.7324 0.2818
Pm: 0.5843 0.5493 0.2818
Pm: 0.4157 0.4507 0.7182
Pm: 0.9157 0.2676 0.7182
Pm: 0.0412 0.2770 0.0734
Pm: 0.5412 0.7964 0.0734
Pm: 0.4588 0.2036 0.9266
Pm: 0.9588 0.7230 0.9266
Ge: 0.2701 0.5081 0.4330
Ge: 0.7701 0.9250 0.4330
Ge: 0.2299 0.0750 0.5670
Ge: 0.7299 0.4919 0.5670
Rh: 0.2500 0.5056 0.0000
Rh: 0.2500 0.0062 0.0000
Rh: 0.7500 0.4944 0.0000
Rh: 0.7500 0.9938 0.0000

## Properties
The value obtained for the formation energy from the elements is -602 meV/atom. As for the polymorph energy (0 for the lowest one): 0 meV per atom. For the density of states at the Fermi level, the calculation gives 13.52 states/eV per cell.

=====

Below is a geometry-optimized NaTcF2 structure, with properties calculated at the PBE-GGA level.

Cell: 5.8741 5.8741 5.7469 Å, 59.26 59.26 90.00°
Fractional coordinates of all 8 atoms:
Na: 0.5000 0.5000 0.0000
Na: 0.2500 0.7500 0.5000
Tc: 0.0000 0.0000 0.0000
Tc: 0.7500 0.2500 0.5000
F: 0.6089 0.1250 0.2500
F: 0.1411 0.6250 0.2500
F: 0.3750 0.3911 0.7500
F: 0.8750 0.8589 0.7500

## Properties
For the uncorrected formation energy, the calculation gives -973 meV per atom. As for the polymorph energy (0 for the lowest one): 656 meV per atom. For the density of states at the Fermi level, the calculation gives 6.14 states/eV per cell.

=====

Below is a geometry-optimized LiTaAu3 structure, with properties calculated at the PBE-GGA level.

Cell: 4.4217 4.4217 4.4217 Å, 90.00 90.00 90.00°
Fractional coordinates of all 5 atoms:
Li: 0.0000 0.0000 0.0000
Au: 0.0000 0.5000 0.0000
Au: 0.0000 0.0000 0.5000
Au: 0.5000 0.0000 0.0000
Ta: 0.5000 0.5000 0.5000

## Properties
The value obtained for the formation energy from the elements is 485 meV/atom. As for the polymorph energy (0 for the lowest one): 0 meV per atom. For the density of states at the Fermi level, the calculation gives 3.65 states/eV per cell.

=====

Below is a geometry-optimized CsCuTe2Pb structure, with properties calculated at the PBE-GGA level.

Cell: 5.4368 9.1235 8.7692 Å, 109.28 90.00 90.00°
Fractional coordinates of all 10 atoms:
Cs: 0.2322 0.5000 0.7500
Cs: 0.7678 0.5000 0.2500
Cu: 0.0000 0.0000 0.0000
Cu: 0.0000 0.0000 0.5000
Te: 0.7340 0.7827 0.0022
Te: 0.7340 0.2173 0.4978
Te: 0.2660 0.7827 0.5022
Te: 0.2660 0.2173 0.9978
Pb: 0.3725 0.0000 0.2500
Pb: 0.6275 0.0000 0.7500

## Properties
For the uncorrected formation energy, the calculation gives -481 meV per atom.

=====

Below is a geometry-optimized Sm12Cd6Sn structure, with properties calculated at the PBE-GGA level.

Cell: 9.1419 9.1419 9.1419 Å, 111.26 111.26 111.26°
Fractional coordinates of all 19 atoms:
Sm: 0.8009 0.6734 0.5316
Sm: 0.5316 0.8009 0.6734
Sm: 0.6734 0.5316 0.8009
Sm: 0.1991 0.3266 0.4684
Sm: 0.4684 0.1991 0.3266
Sm: 0.3266 0.4684 0.1991
Sm: 0.8957 0.8353 0.2618
Sm: 0.1647 0.7382 0.1043
Sm: 0.7382 0.1043 0.1647
Sm: 0.1043 0.1647 0.7382
Sm: 0.8353 0.2618 0.8957
Sm: 0.2618 0.8957 0.8353
Cd: 0.6441 0.9461 0.4218
Cd: 0.5782 0.3559 0.0539
Cd: 0.0539 0.5782 0.3559
Cd: 0.3559 0.0539 0.5782
Cd: 0.4218 0.6441 0.9461
Cd: 0.9461 0.4218 0.6441
Sn: 0.0000 0.0000 0.0000

## Properties
The value obtained for the formation energy from the elements is -192 meV/atom. For the density of states at the Fermi level, the calculation gives 23.71 states/eV per cell.

=====

Below is a geometry-optimized Be2CuPb structure, with properties calculated at the PBE-GGA level.

Cell: 3.8507 3.8507 5.4805 Å, 69.83 69.83 60.14°
Fractional coordinates of all 4 atoms:
Pb: 0.7535 0.7535 0.7415
Be: 0.9335 0.9335 0.1990
Be: 0.2477 0.2477 0.2560
Cu: 0.5653 0.5653 0.3035

## Properties
The value obtained for the formation energy from the elements is 273 meV/atom. For the density of states at the Fermi level, the calculation gives 0.92 states/eV per cell.

=====

Below is a geometry-optimized NaZrSe2F structure, with properties calculated at the PBE-GGA level.

Cell: 5.2925 5.2925 4.2252 Å, 90.00 90.00 90.00°
Fractional coordinates of all 5 atoms:
Na: 0.5000 0.5000 0.5000
Se: 0.0000 0.5000 0.0000
Se: 0.5000 0.0000 0.0000
Zr: 0.0000 0.0000 0.0000
F: 0.0000 0.0000 0.5000

## Properties
For the uncorrected formation energy, the calculation gives -1773 meV per atom. For the density of states at the Fermi level, the calculation gives 1.18 states/eV per cell.

=====

Below is a geometry-optimized ErPtRhPb structure, with properties calculated at the PBE-GGA level.

Cell: 4.8067 4.8067 4.8067 Å, 60.00 60.00 60.00°
Fractional coordinates of all 4 atoms:
Pb: 0.5000 0.5000 0.5000
Rh: 0.2500 0.2500 0.2500
Pt: 0.7500 0.7500 0.7500
Er: 0.0000 0.0000 0.0000

## Properties
The value obtained for the formation energy from the elements is -618 meV/atom. For the density of states at the Fermi level, the calculation gives 3.36 states/eV per cell.

=====

Below is a geometry-optimized YMgPt structure, with properties calculated at the PBE-GGA level.

Cell: 5.8366 5.8368 3.5142 Å, 72.48 72.48 35.04°
Fractional coordinates of all 3 atoms:
Mg: 0.9729 0.9726 0.0271
Pt: 0.3389 0.3390 0.6611
Y: 0.6882 0.6883 0.3118

## Properties
The value obtained for the formation energy from the elements is -753 meV/atom. For the density of states at the Fermi level, the calculation gives 1.30 states/eV per cell.

=====

Which electronic total energy belongs to each record? In order, -4.565; -3.668; -5.145; -5.846; -4.830; -4.235; -3.469; -3.673; -3.541; -5.514; -6.034; -5.453 eV/atom.